Entry 1:
TlAuF4 | PBE | optimized geometry

Cell lengths 4.6264, 6.4721, 8.4769 Å; angles 96.11, 90.00, 110.94 degrees
With the nearest neighbours (Å) after each atom.
Atoms (fractional coordinates):
F 0.8547 0.5996 0.3628  1 Au 1.97
F 0.4145 0.1835 0.4251  1 Au 1.97
F 0.7691 0.1835 0.9251  1 Au 1.97
F 0.1453 0.4004 0.6372  1 Au 1.97
F 0.2551 0.4004 0.1372  1 Au 1.97
F 0.5855 0.8165 0.5749  1 Au 1.97
F 0.7449 0.5996 0.8628  1 Au 1.97
F 0.2309 0.8165 0.0749  1 Au 1.97
Au 0.0000 0.5000 0.0000  4 F 1.97
Au 0.5000 0.5000 0.5000  4 F 1.97
Tl 0.1832 0.0000 0.7500  8 F 2.88-3.15
Tl 0.8168 0.0000 0.2500  8 F 2.88-3.15

Output
The space group is C2/c, No. 15. The value obtained for the uncorrected formation energy is -1401.3 meV per atom. The value obtained for the energy relative to the lowest polymorph listed for this composition is 0 meV/atom.



Entry 2:
SnTe2MoI | PBE | optimized geometry

Cell lengths 5.7435, 5.7435, 5.8373 Å; angles 90.00, 90.00, 90.00 degrees
With the nearest neighbours (Å) after each atom.
Atoms (fractional coordinates):
Sn 0.0000 0.0000 0.0000  4 Te 2.87, 2 I 2.92
Mo 0.5000 0.5000 0.5000  4 I 4.06, 8 Te 4.09
Te 0.0000 0.5000 0.0000  2 Sn 2.87
Te 0.5000 0.0000 0.0000  2 Sn 2.87
I 0.0000 0.0000 0.5000  2 Sn 2.92

Output
The space group is P4/mmm, No. 123. The value obtained for the uncorrected formation energy is 1050.2 meV per atom. The value obtained for the energy relative to the lowest polymorph listed for this composition is 645 meV/atom.



Entry 3:
Fe2TcAs | PBE | optimized geometry

Cell lengths 4.5945, 4.5945, 4.5945 Å; angles 133.27, 133.27, 68.22 degrees
With the nearest neighbours (Å) after each atom.
Atoms (fractional coordinates):
Fe 0.0000 0.0000 0.0000  4 Tc 2.58, 4 As 2.63, 4 Fe 2.63
Fe 0.2500 0.7500 0.5000  4 As 2.58, 4 Tc 2.63, 4 Fe 2.63
As 0.7500 0.2500 0.5000  8 Fe 2.58-2.63, 4 Tc 2.63
Tc 0.5000 0.5000 0.0000  8 Fe 2.58-2.63, 4 As 2.63

Output
The space group is I-4m2, No. 119. The calculation puts the formation enthalpy at 0 K at 0.115 eV/atom. The value obtained for the energy relative to the lowest polymorph listed for this composition is 76 meV/atom.



Entry 4:
Zr2CdMo | PBE | optimized geometry

Cell lengths 6.3401, 5.5867, 2.8320 Å; angles 83.64, 75.44, 120.25 degrees
With the nearest neighbours (Å) after each atom.
Atoms (fractional coordinates):
Cd 0.0000 0.5000 0.5000  2 Cd 2.83, 4 Zr 2.99, 2 Mo 3.13
Zr 0.0000 0.0000 0.0000  4 Zr 2.83-3.13, 2 Cd 2.99, 2 Mo 2.99
Zr 0.5000 0.0000 0.5000  4 Zr 2.83-3.13, 2 Mo 2.99, 2 Cd 2.99
Mo 0.5000 0.5000 0.0000  2 Mo 2.83, 4 Zr 2.99, 2 Cd 3.13

Output
The space group is C2/m, No. 12. The calculation puts the formation enthalpy at 0 K at 0.149 eV/atom.



Entry 5:
CoRuCl2 | PBE | optimized geometry

Cell lengths 5.0851, 5.3785, 3.1743 Å; angles 96.12, 68.38, 124.20 degrees
With the nearest neighbours (Å) after each atom.
Atoms (fractional coordinates):
Co 0.5000 0.5000 0.0000  4 Cl 2.45
Cl 0.0000 0.0000 0.0000  2 Co 2.45, 2 Ru 2.45
Cl 0.0000 0.5000 0.5000  2 Ru 2.45, 2 Co 2.45
Ru 0.5000 0.0000 0.5000  4 Cl 2.45

Output
The space group is C2/m, No. 12. The value obtained for the uncorrected formation energy is 581.4 meV per atom. The value obtained for the energy relative to the lowest polymorph listed for this composition is 552 meV/atom.



Entry 6:
ThMg2Sb | PBE | optimized geometry

Cell lengths 4.9922, 4.5737, 4.5737 Å; angles 90.00, 90.00, 90.00 degrees
With the nearest neighbours (Å) after each atom.
Atoms (fractional coordinates):
Th 0.5000 0.0000 0.0000  4 Sb 3.23, 8 Mg 3.39
Sb 0.5000 0.5000 0.5000  4 Th 3.23, 8 Mg 3.39
Mg 0.0000 0.0000 0.5000  4 Mg 3.23, 4 Th 3.39, 4 Sb 3.39
Mg 0.0000 0.5000 0.0000  4 Mg 3.23, 4 Th 3.39, 4 Sb 3.39

Output
The space group is P4/mmm, No. 123. The value obtained for the uncorrected formation energy is -351.3 meV per atom.



Entry 7:
MgSbPb | PBE | optimized geometry

Cell lengths 6.5228, 6.5228, 6.5228 Å; angles 149.94, 143.70, 47.82 degrees
With the nearest neighbours (Å) after each atom.
Atoms (fractional coordinates):
Mg 0.0140 0.0140 0.0000  4 Sb 3.04, 4 Pb 3.31, 2 Mg 3.38
Sb 0.6393 0.6393 0.0000  4 Mg 3.04, 2 Sb 3.38
Pb 0.3467 0.3467 0.0000  4 Mg 3.31, 2 Pb 3.38, 5 Sb 3.49-3.62

Output
The space group is Imm2, No. 44. The value obtained for the uncorrected formation energy is -40.7 meV per atom.



Entry 8:
NdCd4Rh | PBE | optimized geometry

Cell lengths 5.6773, 5.6773, 5.6773 Å; angles 60.00, 60.00, 60.00 degrees
With the nearest neighbours (Å) after each atom.
Atoms (fractional coordinates):
Cd 0.6260 0.1220 0.6260  6 Cd 2.82-2.86
Cd 0.6260 0.6260 0.6260  6 Cd 2.82-2.86
Cd 0.1220 0.6260 0.6260  6 Cd 2.82-2.86
Cd 0.6260 0.6260 0.1220  6 Cd 2.82-2.86
Rh 0.0000 0.0000 0.0000  12 Cd 3.33, 4 Nd 3.48
Nd 0.2500 0.2500 0.2500  12 Cd 3.33, 4 Rh 3.48

Output
The space group is F-43m, No. 216. The calculation puts the formation enthalpy at 0 K at -0.166 eV/atom.



Entry 9:
Zn2GeBS | PBE | optimized geometry

Cell lengths 4.1119, 4.1119, 4.7608 Å; angles 90.00, 90.00, 90.00 degrees
With the nearest neighbours (Å) after each atom.
Atoms (fractional coordinates):
B 0.0000 0.0000 0.0000  4 Zn 2.06
Zn 0.5000 0.0000 0.0000  2 B 2.06
Zn 0.0000 0.5000 0.0000  2 B 2.06
S 0.5000 0.5000 0.5000  4 Ge 2.91, 8 Zn 3.15
Ge 0.0000 0.0000 0.5000  2 B 2.38

Output
The space group is P4/mmm, No. 123. The value obtained for the uncorrected formation energy is 243.9 meV per atom.



Entry 10:
HfFeTe2N | PBE | optimized geometry

Cell lengths 5.2572, 5.2572, 3.4587 Å; angles 90.00, 90.00, 90.00 degrees
With the nearest neighbours (Å) after each atom.
Atoms (fractional coordinates):
Te 0.0000 0.5000 0.0000  2 Fe 2.63
Te 0.5000 0.0000 0.0000  2 Fe 2.63
N 0.0000 0.0000 0.5000  2 Fe 1.73
Hf 0.5000 0.5000 0.5000  8 Te 3.15, 2 Hf 3.46
Fe 0.0000 0.0000 0.0000  2 N 1.73

Output
The space group is P4/mmm, No. 123. The value obtained for the uncorrected formation energy is 136.3 meV per atom. The value obtained for the energy relative to the lowest polymorph listed for this composition is 0 meV/atom.



Entry 11:
LaSi | PBE | optimized geometry

Cell lengths 5.3580, 5.3580, 5.9237 Å; angles 90.00, 90.00, 120.00 degrees
With the nearest neighbours (Å) after each atom.
Atoms (fractional coordinates):
Si 0.6667 0.3333 0.7500  5 La 2.96-3.09
Si 0.3333 0.6667 0.2500  5 La 2.96-3.09
La 0.3333 0.6667 0.7500  5 Si 2.96-3.09
La 0.6667 0.3333 0.2500  5 Si 2.96-3.09

Output
The space group is P6_3/mmc, No. 194. The value obtained for the uncorrected formation energy is -40.6 meV per atom.



Entry 12:
La6AlSi2 | PBE | optimized geometry

Cell lengths 8.9217, 8.9217, 8.9217 Å; angles 107.29, 109.17, 111.99 degrees
With the nearest neighbours (Å) after each atom.
Atoms (fractional coordinates):
La 0.2019 0.2456 0.4476  2 Si 3.15-3.43, 2 Al 3.33-3.41
La 0.7981 0.2456 0.0437  2 Si 3.15-3.43, 2 Al 3.33-3.41
La 0.2019 0.7544 0.9563  2 Si 3.15-3.43, 2 Al 3.33-3.41
La 0.7981 0.7544 0.5524  2 Si 3.15-3.43, 2 Al 3.33-3.41
La 0.7102 0.3874 0.6772  3 Si 3.06-3.10
La 0.2898 0.6126 0.3228  3 Si 3.06-3.10
La 0.5504 0.7305 0.8200  3 Si 3.19-3.36, 1 Al 3.27
La 0.9105 0.7305 0.1800  3 Si 3.19-3.36, 1 Al 3.27
La 0.2898 0.9670 0.6772  3 Si 3.06-3.10
La 0.0895 0.2695 0.8200  3 Si 3.19-3.36, 1 Al 3.27
La 0.4496 0.2695 0.1800  3 Si 3.19-3.36, 1 Al 3.27
La 0.7102 0.0330 0.3228  3 Si 3.06-3.10
Si 0.6251 0.0000 0.6251  1 Si 2.59
Si 0.5000 0.6122 0.1122  1 Si 2.37
Si 0.3749 0.0000 0.3749  1 Si 2.59
Si 0.5000 0.3878 0.8878  1 Si 2.37
Al 0.0000 0.0000 0.0000  8 La 3.27-3.33
Al 0.0000 0.5000 0.5000  8 La 3.41-3.45

Output
The space group is Immm, No. 71. The value obtained for the uncorrected formation energy is -441.3 meV per atom.